CrBi2CF: relaxed, PBE with a Hubbard U.

```
CrBi2CF
1.0
5.163 0.000 0.000
0.000 5.163 0.000
0.000 0.000 4.047
Cr Bi C F
1 2 1 1
Cartesian
0.000 0.000 0.000
0.000 2.581 2.023
2.581 0.000 2.023
2.581 2.581 0.000
0.000 0.000 2.023
```

Summary:
D(E_F) (states/eV/atom): 0.45
SG: P4/mmm, No. 123
E (eV/atom): -4.3549
Crystal system: tetragonal
Density (g/cm3): 7.71